[1]
Entry from Alexandria via LeMat-Bulk: an optimized crystal structure of Sr8CdHg2 (PBE).

Calculated values
* final energy: -17.3 eV for the cell shown
* E above lowest polymorph: 25 meV/atom
* DFT formation energy: -20.6 kJ per mole of atoms

a b c (Å): 9.0295 9.0295 6.7131
angles (deg): 99.75 99.75 111.53
With the nearest neighbours (Å) after each atom.
Fractional coordinates of all 11 atoms:
Sr1 0.0000 0.0000 0.0000  2 Hg 3.51, 1 Cd 3.72
Sr2 0.0340 0.2951 0.5877  2 Hg 3.37, 1 Cd 3.61
Sr3 0.1416 0.5918 0.1860  1 Cd 3.50, 2 Hg 3.60
Sr4 0.2951 0.0340 0.5877  2 Hg 3.37, 1 Cd 3.61
Sr5 0.4409 0.7010 0.7790  2 Hg 3.36-3.38, 1 Cd 3.65
Sr6 0.5918 0.1416 0.1860  1 Cd 3.50, 2 Hg 3.60
Sr7 0.7010 0.4409 0.7790  2 Hg 3.36-3.38, 1 Cd 3.65
Sr8 0.7338 0.7338 0.3770  2 Hg 3.51, 1 Cd 3.65
Cd1 0.3666 0.3666 0.3326  8 Sr 3.50-3.72
Hg1 0.0559 0.6819 0.6871  8 Sr 3.36-3.60
Hg2 0.6819 0.0559 0.6871  8 Sr 3.36-3.60

***

[2]
Entry from Alexandria via LeMat-Bulk: an optimized crystal structure of SrCd4Hg2 (PBE).

Calculated values
* final energy: -7.5 eV for the cell shown
* E above lowest polymorph: 0 meV/atom
* DFT formation energy: -21.9 kJ per mole of atoms

a b c (Å): 9.4281 9.4281 4.4333
angles (deg): 90.00 90.00 152.62
With the nearest neighbours (Å) after each atom.
Fractional coordinates of all 7 atoms:
Sr1 0.0000 0.0000 0.0000  8 Hg 3.47
Cd1 0.1868 0.8132 0.5000  2 Hg 2.97, 8 Cd 3.15-3.21
Cd2 0.3102 0.6898 0.0000  2 Hg 3.00, 8 Cd 3.14-3.17
Cd3 0.6898 0.3102 0.0000  2 Hg 3.00, 8 Cd 3.14-3.17
Cd4 0.8132 0.1868 0.5000  2 Hg 2.97, 8 Cd 3.15-3.21
Hg1 0.4204 0.5796 0.5000  1 Hg 2.92, 4 Cd 2.97-3.00
Hg2 0.5796 0.4204 0.5000  1 Hg 2.92, 4 Cd 2.97-3.00